(1)
# PuTh2Ge3Rh4 GGA-PBE optimized geometry
# Total magnetic moment (μB/atom): 0.502
# ΔE_f (eV per atom): -0.81
data_PuTh2Ge3Rh4
_cell_length_a 4.2200
_cell_length_b 4.2200
_cell_length_c 11.0536
_cell_angle_alpha 90.00
_cell_angle_beta 90.00
_cell_angle_gamma 90.00
_symmetry_space_group_name_H-M 'P 1'
_symmetry_Int_Tables_number 1
loop_
_symmetry_equiv_pos_as_xyz
'x,y,z'
loop_
_atom_site_label
_atom_site_type_symbol
_atom_site_fract_x
_atom_site_fract_y
_atom_site_fract_z
Pu1 Pu 0.5000 0.5000 0.5000
Th1 Th 0.5000 0.0000 0.2304
Th2 Th 0.0000 0.5000 0.7696
Ge1 Ge 0.0000 0.0000 0.5000
Ge2 Ge 0.5000 0.0000 0.8767
Ge3 Ge 0.0000 0.5000 0.1233
Rh1 Rh 0.5000 0.5000 0.0000
Rh2 Rh 0.0000 0.0000 0.0000
Rh3 Rh 0.5000 0.0000 0.6550
Rh4 Rh 0.0000 0.5000 0.3450


(2)
# Tm2PuGe2Rh5 GGA-PBE optimized geometry
# Total magnetic moment (μB/atom): 0.446
# ΔE_f (eV per atom): -0.78
data_Tm2PuGe2Rh5
_cell_length_a 3.7042
_cell_length_b 9.8126
_cell_length_c 9.8126
_cell_angle_alpha 90.00
_cell_angle_beta 90.00
_cell_angle_gamma 90.00
_symmetry_space_group_name_H-M 'P 1'
_symmetry_Int_Tables_number 1
loop_
_symmetry_equiv_pos_as_xyz
'x,y,z'
loop_
_atom_site_label
_atom_site_type_symbol
_atom_site_fract_x
_atom_site_fract_y
_atom_site_fract_z
Tm1 Tm 0.0000 0.6712 0.1712
Tm2 Tm 0.0000 0.3288 0.8288
Tm3 Tm 0.0000 0.1712 0.3288
Tm4 Tm 0.0000 0.8288 0.6712
Pu1 Pu 0.0000 0.0000 0.0000
Pu2 Pu 0.0000 0.5000 0.5000
Ge1 Ge 0.0000 0.1253 0.6253
Ge2 Ge 0.0000 0.8747 0.3747
Ge3 Ge 0.0000 0.6253 0.8747
Ge4 Ge 0.0000 0.3747 0.1253
Rh1 Rh 0.5000 0.2121 0.0694
Rh2 Rh 0.5000 0.7879 0.9306
Rh3 Rh 0.5000 0.0694 0.7879
Rh4 Rh 0.5000 0.7121 0.4306
Rh5 Rh 0.5000 0.9306 0.2121
Rh6 Rh 0.5000 0.2879 0.5694
Rh7 Rh 0.5000 0.5694 0.7121
Rh8 Rh 0.5000 0.4306 0.2879
Rh9 Rh 0.5000 0.5000 0.0000
Rh10 Rh 0.5000 0.0000 0.5000


(3)
# PuU2Ge2Rh2 GGA-PBE optimized geometry
# Total magnetic moment (μB/atom): 1.190
# ΔE_f (eV per atom): -0.51
data_PuU2Ge2Rh2
_cell_length_a 4.4475
_cell_length_b 4.4475
_cell_length_c 8.4363
_cell_angle_alpha 74.72
_cell_angle_beta 74.72
_cell_angle_gamma 60.00
_symmetry_space_group_name_H-M 'P 1'
_symmetry_Int_Tables_number 1
loop_
_symmetry_equiv_pos_as_xyz
'x,y,z'
loop_
_atom_site_label
_atom_site_type_symbol
_atom_site_fract_x
_atom_site_fract_y
_atom_site_fract_z
Pu1 Pu 0.0000 0.0000 0.0000
U1 U 0.1431 0.1431 0.5706
U2 U 0.8569 0.8569 0.4294
Ge1 Ge 0.7328 0.7328 0.8017
Ge2 Ge 0.2672 0.2672 0.1983
Rh1 Rh 0.5645 0.5645 0.3064
Rh2 Rh 0.4355 0.4355 0.6936


(4)
# PuUGeRh GGA-PBE optimized geometry
# Total magnetic moment (μB/atom): 2.231
# ΔE_f (eV per atom): -0.35
data_PuUGeRh
_cell_length_a 4.7891
_cell_length_b 4.7891
_cell_length_c 4.7891
_cell_angle_alpha 60.00
_cell_angle_beta 60.00
_cell_angle_gamma 60.00
_symmetry_space_group_name_H-M 'P 1'
_symmetry_Int_Tables_number 1
loop_
_symmetry_equiv_pos_as_xyz
'x,y,z'
loop_
_atom_site_label
_atom_site_type_symbol
_atom_site_fract_x
_atom_site_fract_y
_atom_site_fract_z
Rh1 Rh 0.7500 0.7500 0.7500
Ge1 Ge 0.0000 0.0000 0.0000
U1 U 0.5000 0.5000 0.5000
Pu1 Pu 0.2500 0.2500 0.2500


(5)
# Pu2ZnGe3Rh4 GGA-PBE optimized geometry
# Total magnetic moment (μB/atom): 1.080
# ΔE_f (eV per atom): -0.62
data_Pu2ZnGe3Rh4
_cell_length_a 4.1442
_cell_length_b 4.1442
_cell_length_c 10.5174
_cell_angle_alpha 90.00
_cell_angle_beta 90.00
_cell_angle_gamma 90.00
_symmetry_space_group_name_H-M 'P 1'
_symmetry_Int_Tables_number 1
loop_
_symmetry_equiv_pos_as_xyz
'x,y,z'
loop_
_atom_site_label
_atom_site_type_symbol
_atom_site_fract_x
_atom_site_fract_y
_atom_site_fract_z
Pu1 Pu 0.5000 0.0000 0.2536
Pu2 Pu 0.0000 0.5000 0.7464
Zn1 Zn 0.5000 0.5000 0.5000
Ge1 Ge 0.0000 0.0000 0.5000
Ge2 Ge 0.5000 0.0000 0.8716
Ge3 Ge 0.0000 0.5000 0.1284
Rh1 Rh 0.5000 0.5000 0.0000
Rh2 Rh 0.0000 0.0000 0.0000
Rh3 Rh 0.5000 0.0000 0.6388
Rh4 Rh 0.0000 0.5000 0.3612


(6)
# Pu2Zn2GeRh5 GGA-PBE optimized geometry
# Total magnetic moment (μB/atom): 0.915
# ΔE_f (eV per atom): -0.42
data_Pu2Zn2GeRh5
_cell_length_a 3.5469
_cell_length_b 9.7103
_cell_length_c 9.7103
_cell_angle_alpha 90.00
_cell_angle_beta 90.00
_cell_angle_gamma 90.00
_symmetry_space_group_name_H-M 'P 1'
_symmetry_Int_Tables_number 1
loop_
_symmetry_equiv_pos_as_xyz
'x,y,z'
loop_
_atom_site_label
_atom_site_type_symbol
_atom_site_fract_x
_atom_site_fract_y
_atom_site_fract_z
Pu1 Pu 0.0000 0.6721 0.1721
Pu2 Pu 0.0000 0.3279 0.8279
Pu3 Pu 0.0000 0.1721 0.3279
Pu4 Pu 0.0000 0.8279 0.6721
Zn1 Zn 0.0000 0.1272 0.6272
Zn2 Zn 0.0000 0.8728 0.3728
Zn3 Zn 0.0000 0.6272 0.8728
Zn4 Zn 0.0000 0.3728 0.1272
Ge1 Ge 0.0000 0.0000 0.0000
Ge2 Ge 0.0000 0.5000 0.5000
Rh1 Rh 0.5000 0.1964 0.0649
Rh2 Rh 0.5000 0.8036 0.9351
Rh3 Rh 0.5000 0.0649 0.8036
Rh4 Rh 0.5000 0.6964 0.4351
Rh5 Rh 0.5000 0.9351 0.1964
Rh6 Rh 0.5000 0.3036 0.5649
Rh7 Rh 0.5000 0.5649 0.6964
Rh8 Rh 0.5000 0.4351 0.3036
Rh9 Rh 0.5000 0.5000 0.0000
Rh10 Rh 0.5000 0.0000 0.5000


What did the first record say?
# PuTh2Ge3Rh4 GGA-PBE optimized geometry
# Total magnetic moment (μB/atom): 0.502
# ΔE_f (eV per atom): -0.81
data_PuTh2Ge3Rh4
_cell_length_a 4.2200
_cell_length_b 4.2200
_cell_length_c 11.0536
_cell_angle_alpha 90.00
_cell_angle_beta 90.00
_cell_angle_gamma 90.00
_symmetry_space_group_name_H-M 'P 1'
_symmetry_Int_Tables_number 1
loop_
_symmetry_equiv_pos_as_xyz
'x,y,z'
loop_
_atom_site_label
_atom_site_type_symbol
_atom_site_fract_x
_atom_site_fract_y
_atom_site_fract_z
Pu1 Pu 0.5000 0.5000 0.5000
Th1 Th 0.5000 0.0000 0.2304
Th2 Th 0.0000 0.5000 0.7696
Ge1 Ge 0.0000 0.0000 0.5000
Ge2 Ge 0.5000 0.0000 0.8767
Ge3 Ge 0.0000 0.5000 0.1233
Rh1 Rh 0.5000 0.5000 0.0000
Rh2 Rh 0.0000 0.0000 0.0000
Rh3 Rh 0.5000 0.0000 0.6550
Rh4 Rh 0.0000 0.5000 0.3450